(1)
Here is a geometry-optimized LiSc2Ir2 structure from Alexandria via LeMat-Bulk. Energies are from PBE.

Properties
DFT formation energy in kJ per mole of atoms: -35.12
Space-group type: I4/mmm (139)
Crystal system: tetragonal
Offset from the most stable computed form in eV/f.u.: 1.08

Cell lengths 6.3422, 6.3422, 6.3422 Å; angles 139.66, 139.66, 58.37 degrees
Positions (direct):
Li 0.0000 0.0000 0.0000
Sc 0.2500 0.7500 0.5000
Sc 0.7500 0.2500 0.5000
Ir 0.3858 0.3858 0.0000
Ir 0.6142 0.6142 0.0000

(2)
Here is a geometry-optimized AcGe6O12 structure from Alexandria via LeMat-Bulk. Energies are from PBE.

Properties
Space-group type: R-3m (166)
Crystal system: trigonal

Cell lengths 6.5278, 6.5278, 6.5278 Å; angles 108.23, 108.23, 108.23 degrees
Positions (direct):
Ac 0.0000 0.0000 0.0000
Ge 0.2353 0.2353 0.6012
Ge 0.2353 0.6012 0.2353
Ge 0.3988 0.7647 0.7647
Ge 0.6012 0.2353 0.2353
Ge 0.7647 0.3988 0.7647
Ge 0.7647 0.7647 0.3988
O 0.1109 0.5000 0.8891
O 0.1109 0.8891 0.5000
O 0.1661 0.4236 0.4236
O 0.4236 0.1661 0.4236
O 0.4236 0.4236 0.1661
O 0.5000 0.1109 0.8891
O 0.5000 0.8891 0.1109
O 0.5764 0.5764 0.8339
O 0.5764 0.8339 0.5764
O 0.8339 0.5764 0.5764
O 0.8891 0.1109 0.5000
O 0.8891 0.5000 0.1109

(3)
Here is a geometry-optimized PrScTe2O8 structure from Alexandria via LeMat-Bulk. Energies are from PBE.

Properties
Space-group type: I-4m2 (119)
Crystal system: tetragonal

Cell lengths 6.2286, 6.2286, 6.2286 Å; angles 107.96, 107.96, 112.55 degrees
Positions (direct):
Pr 0.0000 0.0000 0.0000
Sc 0.7500 0.2500 0.5000
Te 0.2500 0.7500 0.5000
Te 0.5000 0.5000 0.0000
O 0.0580 0.3796 0.3216
O 0.0580 0.7364 0.6784
O 0.0954 0.2992 0.7962
O 0.2636 0.9420 0.3216
O 0.5030 0.2992 0.2038
O 0.6204 0.9420 0.6784
O 0.7008 0.4970 0.7962
O 0.7008 0.9046 0.2038

(4)
Here is a geometry-optimized Al2Cd2Si structure from Alexandria via LeMat-Bulk. Energies are from PBE.

Properties
Space-group type: P4/mbm (127)
Crystal system: tetragonal
Offset from the most stable computed form in eV/f.u.: 0.11

Cell lengths 7.8767, 7.8767, 3.3025 Å; angles 90.00, 90.00, 90.00 degrees
Positions (direct):
Al 0.1221 0.3779 0.0000
Al 0.3779 0.8779 0.0000
Al 0.6221 0.1221 0.0000
Al 0.8779 0.6221 0.0000
Cd 0.1803 0.6803 0.5000
Cd 0.3197 0.1803 0.5000
Cd 0.6803 0.8197 0.5000
Cd 0.8197 0.3197 0.5000
Si 0.0000 0.0000 0.0000
Si 0.5000 0.5000 0.0000

(5)
Here is a geometry-optimized PaAl2Ga structure from Alexandria via LeMat-Bulk. Energies are from PBE.

Properties
DFT formation energy in kJ per mole of atoms: -27.52
Space-group type: P4/mmm (123)
Crystal system: tetragonal
Offset from the most stable computed form in eV/f.u.: 0.00

Cell lengths 4.2820, 4.2820, 4.3381 Å; angles 90.00, 90.00, 90.00 degrees
Positions (direct):
Pa 0.0000 0.0000 0.0000
Al 0.0000 0.5000 0.5000
Al 0.5000 0.0000 0.5000
Ga 0.5000 0.5000 0.0000

(6)
Here is a geometry-optimized Pt2Pb3 structure from Alexandria via LeMat-Bulk. Energies are from PBE.

Properties
DFT formation energy in kJ per mole of atoms: -12.29
Space-group type: R-3m (166)
Crystal system: trigonal

Cell lengths 9.3303, 9.3303, 9.3303 Å; angles 25.26, 25.26, 25.26 degrees
Positions (direct):
Pt 0.1074 0.1074 0.1074
Pt 0.8926 0.8926 0.8926
Pb 0.2826 0.2826 0.2826
Pb 0.5000 0.5000 0.5000
Pb 0.7174 0.7174 0.7174

(7)
Here is a geometry-optimized K2CeAgF6 structure from Alexandria via LeMat-Bulk. Energies are from PBE.

Properties
Space-group type: I4/mmm (139)
Crystal system: tetragonal

Cell lengths 6.6585, 6.6585, 6.6585 Å; angles 119.97, 119.97, 90.05 degrees
Positions (direct):
K 0.2500 0.7500 0.5000
K 0.7500 0.2500 0.5000
Ce 0.0000 0.0000 0.0000
Ag 0.5000 0.5000 0.0000
F 0.2410 0.2410 0.0000
F 0.2408 0.2408 0.4816
F 0.2408 0.7592 0.0000
F 0.7592 0.2408 0.0000
F 0.7590 0.7590 0.0000
F 0.7592 0.7592 0.5184

(8)
Here is a geometry-optimized Ca2PuN structure from Alexandria via LeMat-Bulk. Energies are from PBE.

Properties
Space-group type: R-3m (166)
Crystal system: trigonal

Cell lengths 10.2633, 10.2633, 10.2633 Å; angles 19.74, 19.74, 19.74 degrees
Positions (direct):
Ca 0.1244 0.1244 0.1244
Ca 0.8756 0.8756 0.8756
Pu 0.0000 0.0000 0.0000
N 0.5000 0.5000 0.5000

(9)
Here is a geometry-optimized CeIn2Au structure from Alexandria via LeMat-Bulk. Energies are from PBE.

Properties
DFT formation energy in kJ per mole of atoms: -38.84
Space-group type: P4/mmm (123)
Crystal system: tetragonal
Offset from the most stable computed form in eV/f.u.: 0.41

Cell lengths 4.5612, 4.5612, 4.7381 Å; angles 90.00, 90.00, 90.00 degrees
Positions (direct):
Ce 0.0000 0.0000 0.0000
In 0.0000 0.5000 0.5000
In 0.5000 0.0000 0.5000
Au 0.5000 0.5000 0.0000

(10)
Here is a geometry-optimized Cs3CuC structure from Alexandria via LeMat-Bulk. Energies are from PBE.

Properties
DFT formation energy in kJ per mole of atoms: 129.42
Space-group type: Pm-3m (221)
Crystal system: cubic

Cell lengths 6.6898, 6.6898, 6.6898 Å; angles 90.00, 90.00, 90.00 degrees
Positions (direct):
Cs 0.0000 0.0000 0.5000
Cs 0.0000 0.5000 0.0000
Cs 0.5000 0.0000 0.0000
Cu 0.0000 0.0000 0.0000
C 0.5000 0.5000 0.5000

(11)
Here is a geometry-optimized ErCuHg2 structure from Alexandria via LeMat-Bulk. Energies are from PBE.

Properties
DFT formation energy in kJ per mole of atoms: -24.89
Space-group type: Cmcm (63)
Crystal system: orthorhombic

Cell lengths 5.5064, 5.5064, 7.9221 Å; angles 90.00, 90.00, 135.89 degrees
Positions (direct):
Er 0.0671 0.9329 0.7500
Er 0.9329 0.0671 0.2500
Cu 0.2276 0.7724 0.2500
Cu 0.7724 0.2276 0.7500
Hg 0.3609 0.6391 0.5501
Hg 0.3609 0.6391 0.9499
Hg 0.6391 0.3609 0.0501
Hg 0.6391 0.3609 0.4499

(12)
Here is a geometry-optimized GaRuPb structure from Alexandria via LeMat-Bulk. Energies are from PBE.

Properties
DFT formation energy in kJ per mole of atoms: 2.40
Space-group type: Cmmm (65)
Crystal system: orthorhombic

Cell lengths 7.1984, 7.1984, 3.0604 Å; angles 90.00, 90.00, 127.74 degrees
Positions (direct):
Ga 0.0000 0.5000 0.0000
Ga 0.5000 0.0000 0.0000
Ru 0.1501 0.8499 0.5000
Ru 0.8499 0.1501 0.5000
Pb 0.2549 0.2549 0.0000
Pb 0.7451 0.7451 0.0000

Number 1: uncorrected energy -6.824 eV per atom, total moment 0.00 Bohr magnetons per cell. Number 2: uncorrected energy -5.798 eV per atom, total moment 0.00 Bohr magnetons per cell. Number 3: uncorrected energy -6.572 eV per atom, total moment 0.00 Bohr magnetons per cell. Number 4: uncorrected energy -2.526 eV per atom, total moment 0.00 Bohr magnetons per cell. Number 5: uncorrected energy -5.287 eV per atom, total moment 0.00 Bohr magnetons per cell. Number 6: uncorrected energy -4.769 eV per atom, total moment 0.00 Bohr magnetons per cell. Number 7: uncorrected energy -5.048 eV per atom, total moment 0.92 Bohr magnetons per cell. Number 8: uncorrected energy -6.957 eV per atom, total moment 7.15 Bohr magnetons per cell. Number 9: uncorrected energy -4.075 eV per atom, total moment 0.95 Bohr magnetons per cell. Number 10: uncorrected energy -1.835 eV per atom, total moment 2.03 Bohr magnetons per cell. Number 11: uncorrected energy -2.574 eV per atom, total moment 0.00 Bohr magnetons per cell. Number 12: uncorrected energy -5.312 eV per atom, total moment 0.00 Bohr magnetons per cell.